No. 1
The following is a PBEsol calculation of an optimized crystal structure of CaCdNi2, from the Alexandria database.

```
CaCdNi2
1.0
1.518 0.876 8.371
-1.518 0.876 8.371
0.000 -1.753 8.371
Ca Cd Ni
1 1 2
Direct
0.000 0.000 0.000
0.500 0.500 0.500
0.247 0.247 0.247
0.753 0.753 0.753
```

## Properties
The crystal system is trigonal. The calculation puts the total DFT energy (no corrections) at -3.526 eV/atom. The value obtained for the magnetization is 0.0 μB per formula unit. The energy of formation is 0.39 eV per atom.

=====

No. 2
The following is a PBEsol calculation of an optimized crystal structure of Ca2CdNi, from the Alexandria database.

```
Ca2CdNi
1.0
3.470 0.000 0.000
0.000 3.485 0.000
0.000 0.000 7.505
Ca Cd Ni
2 1 1
Direct
0.000 0.000 0.217
0.000 0.000 0.783
0.500 0.500 0.500
0.500 0.500 0.000
```

## Properties
The crystal system is orthorhombic. The calculation puts the total DFT energy (no corrections) at -3.029 eV/atom. The value obtained for the magnetization is 0.0 μB per formula unit. The energy of formation is -0.12 eV per atom.

=====

No. 3
The following is a PBEsol calculation of an optimized crystal structure of CaCdNi2, from the Alexandria database.

```
CaCdNi2
1.0
-1.927 1.927 4.328
1.927 -1.927 4.328
1.927 1.927 -4.328
Ca Cd Ni
1 1 2
Direct
0.000 0.000 0.000
0.750 0.250 0.500
0.250 0.750 0.500
0.500 0.500 0.000
```

## Properties
The crystal system is tetragonal. The calculation puts the total DFT energy (no corrections) at -3.818 eV/atom. The value obtained for the magnetization is 0.0 μB per formula unit. The energy of formation is 0.09 eV per atom.

=====

No. 4
The following is a PBEsol calculation of an optimized crystal structure of CaZr2CdNi, from the Alexandria database.

```
CaZr2CdNi
1.0
5.038 0.000 0.000
0.000 5.038 0.000
0.000 0.000 4.334
Ca Zr Cd Ni
1 2 1 1
Direct
0.000 0.000 0.000
0.000 0.500 0.000
0.500 0.000 0.000
0.500 0.500 0.500
0.000 0.000 0.500
```

## Properties
The crystal system is tetragonal. The calculation puts the total DFT energy (no corrections) at -4.181 eV/atom. The value obtained for the magnetization is 0.0 μB per formula unit. The energy of formation is 1.35 eV per atom.

=====

No. 5
The following is a PBEsol calculation of an optimized crystal structure of Ca3CdO4, from the Alexandria database.

```
Ca3CdO4
1.0
3.366 0.000 0.000
0.000 3.366 0.000
0.000 0.000 9.478
Ca Cd O
3 1 4
Direct
0.000 0.000 0.000
0.500 0.500 0.254
0.500 0.500 0.746
0.000 0.000 0.500
0.000 0.000 0.250
0.000 0.000 0.750
0.500 0.500 0.000
0.500 0.500 0.500
```

## Properties
The crystal system is tetragonal. The calculation puts the total DFT energy (no corrections) at -6.105 eV/atom. The value obtained for the magnetization is 0.0 μB per formula unit. For the formation energy (no corrections), the calculation gives -2531 meV/atom.

=====

No. 6
The following is a PBEsol calculation of an optimized crystal structure of CaCd3O4, from the Alexandria database.

```
CaCd3O4
1.0
3.346 0.000 0.000
0.000 3.346 0.000
0.000 0.000 9.391
Ca Cd O
1 3 4
Direct
0.000 0.000 0.000
0.000 0.000 0.500
0.500 0.500 0.252
0.500 0.500 0.748
0.000 0.000 0.252
0.000 0.000 0.748
0.500 0.500 0.000
0.500 0.500 0.500
```

## Properties
The crystal system is tetragonal. The calculation puts the total DFT energy (no corrections) at -4.876 eV/atom. The energy relative to the lowest polymorph listed for this composition is 3 meV/atom. The value obtained for the magnetization is 0.0 μB per formula unit. For the formation energy (no corrections), the calculation gives -1535 meV/atom.

=====

| no. | ρ (g cm⁻³) | volume (Å³ per cell) | N(E_F) (states/eV/f.u.) |
| --- | --- | --- | --- |
| 1 | 6.7 | 66.8 | 2.86 |
| 2 | 4.6 | 90.7 | 2.64 |
| 3 | 7.0 | 64.3 | 1.56 |
| 4 | 5.9 | 110.0 | 5.06 |
| 5 | 4.6 | 107.4 | 0.00 |
| 6 | 7.0 | 105.2 | 1.14 |